Entry 1:
DFT (PBE) results for an optimized crystal structure of TlAgAs2.

a b c (Å): 3.0198 5.0382 5.8757
angles (deg): 90.00 90.38 90.00
Positions (direct):
1 Tl 0.0000 0.0000 0.0000
2 Ag 0.4975 0.5000 0.8048
3 As 0.4903 0.0000 0.4954
4 As 0.4961 0.5000 0.3257

Summary:
* formation enthalpy at 0 K: 231 meV/atom
* energy above the lowest structure with this stoichiometry: 104 meV/atom
* DOS at the Fermi energy: 2.25 states/eV/cell
* total moment: 0.00 Bohr magnetons per cell

Entry 2:
DFT (PBE) results for an optimized crystal structure of Ag6AuF4.

a b c (Å): 7.5093 7.5093 7.5093
angles (deg): 137.05 137.05 62.36
Positions (direct):
1 Ag 0.0000 0.5000 0.5000
2 Ag 0.0885 0.5941 0.0000
3 Ag 0.4059 0.4059 0.4944
4 Ag 0.5000 0.0000 0.5000
5 Ag 0.5941 0.0885 0.0000
6 Ag 0.9115 0.9115 0.5056
7 Au 0.5000 0.5000 0.0000
8 F 0.0380 0.0380 0.4048
9 F 0.3669 0.9620 0.0000
10 F 0.6331 0.6331 0.5952
11 F 0.9620 0.3669 0.0000

Summary:
* raw formation energy: -0.576 eV/atom
* DOS at the Fermi energy: 2.91 states/eV/cell
* total moment: 0.00 Bohr magnetons per cell